1.
Entry from OQMD: an optimized crystal structure of LiCdBi (PBE).

DFT total energy (eV per atom): -2.483

POSCAR file:
```
LiCdBi
1.0
7.729 0.000 0.000
-3.865 6.694 0.000
0.000 0.000 4.429
Li Bi Cd
3 3 3
Direct
0.417 0.417 0.500
0.000 0.583 0.500
0.583 0.000 0.500
0.667 0.333 0.000
0.333 0.667 0.000
0.000 0.000 0.500
0.000 0.262 0.000
0.262 0.000 0.000
0.738 0.738 0.000
```


2.
Entry from OQMD: an optimized crystal structure of LiCdBi2 (PBE).

DFT total energy (eV per atom): -2.758

POSCAR file:
```
LiCdBi2
1.0
0.000 3.797 3.797
3.797 0.000 3.797
3.797 3.797 0.000
Bi Li Cd
2 1 1
Direct
0.250 0.250 0.250
0.000 0.000 0.000
0.750 0.750 0.750
0.500 0.500 0.500
```


3.
Entry from OQMD: an optimized crystal structure of LiCdBi (PBE).

DFT total energy (eV per atom): -2.455

POSCAR file:
```
LiCdBi
1.0
4.859 0.000 0.000
-2.429 4.208 0.000
0.000 0.000 6.734
Li Cd Bi
2 2 2
Direct
0.333 0.667 0.750
0.667 0.333 0.250
0.000 0.000 0.500
0.000 0.000 0.000
0.333 0.667 0.250
0.667 0.333 0.750
```